Entry 1:
Material: KTb4ClO6
Method: DFT, GGA-PBE
State: optimized geometry

a = 6.6484 Å, b = 6.6484 Å, c = 8.6192 Å
α = 90.00°, β = 90.00°, γ = 120.00°
With the nearest neighbours (Å) after each atom.
Fractional positions:
K: 0.0000 0.0000 0.0000  12 O 3.68
Tb: 0.3333 0.6667 0.2631  3 O 2.04
Tb: 0.3333 0.6667 0.7369  3 O 2.04
Tb: 0.6667 0.3333 0.2631  3 O 2.04
Tb: 0.6667 0.3333 0.7369  3 O 2.04
Cl: 0.0000 0.0000 0.5000  12 O 4.30, 2 K 4.31, 12 Tb 4.35
O: 0.0000 0.5000 0.1831  2 Tb 2.04
O: 0.0000 0.5000 0.8169  2 Tb 2.04
O: 0.5000 0.0000 0.1831  2 Tb 2.04
O: 0.5000 0.0000 0.8169  2 Tb 2.04
O: 0.5000 0.5000 0.1831  2 Tb 2.04
O: 0.5000 0.5000 0.8169  2 Tb 2.04

The space group is P6/mmm, No. 191. The calculation puts the total energy at -6.629 eV per atom.

***

Entry 2:
Material: KOsCl6
Method: DFT, GGA-PBE
State: optimized geometry

a = 6.1686 Å, b = 6.1686 Å, c = 6.1686 Å
α = 101.75°, β = 101.75°, γ = 101.75°
With the nearest neighbours (Å) after each atom.
Fractional positions:
K: 0.0000 0.0000 0.0000  12 Cl 3.35-3.70
Os: 0.5000 0.5000 0.5000  6 Cl 2.32
Cl: 0.1851 0.2641 0.5587  1 Os 2.32
Cl: 0.2641 0.5587 0.1851  1 Os 2.32
Cl: 0.4413 0.8149 0.7359  1 Os 2.32
Cl: 0.5587 0.1851 0.2641  1 Os 2.32
Cl: 0.7359 0.4413 0.8149  1 Os 2.32
Cl: 0.8149 0.7359 0.4413  1 Os 2.32

The space group is R-3, No. 148. The calculation puts the total energy at -3.745 eV per atom. For the energy above the most stable polymorph in this dataset, the calculation gives 0.005 eV per atom.

***

Entry 3:
Material: KOsCl
Method: DFT, GGA-PBE
State: optimized geometry

a = 5.0878 Å, b = 5.0878 Å, c = 5.7293 Å
α = 90.00°, β = 90.00°, γ = 90.00°
With the nearest neighbours (Å) after each atom.
Fractional positions:
K: 0.0000 0.0000 0.0000  2 Cl 2.86
Os: 0.5000 0.5000 0.0000  4 K 3.60
Cl: 0.0000 0.0000 0.5000  2 K 2.86

The space group is P4/mmm, No. 123. The calculation puts the total energy at -3.067 eV per atom.

***

Entry 4:
Material: KOsCl6
Method: DFT, GGA-PBE
State: optimized geometry

a = 6.6685 Å, b = 6.6838 Å, c = 7.2155 Å
α = 90.10°, β = 117.40°, γ = 119.89°
With the nearest neighbours (Å) after each atom.
Fractional positions:
K: 0.0000 0.0000 0.0000  6 Cl 3.24-3.25
Os: 0.0000 0.5000 0.5000  6 Cl 2.32
Cl: 0.1681 0.4942 0.2828  1 Os 2.32
Cl: 0.2112 0.3274 0.7181  1 Os 2.32
Cl: 0.3893 0.8831 0.7182  1 Os 2.32
Cl: 0.6107 0.1169 0.2818  1 Os 2.32
Cl: 0.7889 0.6726 0.2819  1 Os 2.32
Cl: 0.8319 0.5058 0.7172  1 Os 2.32

The space group is P-1, No. 2. The calculation puts the total energy at -3.750 eV per atom. For the energy above the most stable polymorph in this dataset, the calculation gives 0.000 eV per atom.

***

Entry 5:
Material: KRb2OsCl6
Method: DFT, GGA-PBE
State: optimized geometry

a = 7.4737 Å, b = 7.4737 Å, c = 7.4737 Å
α = 60.00°, β = 60.00°, γ = 60.00°
With the nearest neighbours (Å) after each atom.
Fractional positions:
K: 0.0000 0.0000 0.0000  6 Cl 2.91
Rb: 0.2500 0.2500 0.2500  12 Cl 3.75
Rb: 0.7500 0.7500 0.7500  12 Cl 3.75
Os: 0.5000 0.5000 0.5000  6 Cl 2.37
Cl: 0.2757 0.2757 0.7243  1 Os 2.37
Cl: 0.2757 0.7243 0.2757  1 Os 2.37
Cl: 0.2757 0.7243 0.7243  1 Os 2.37
Cl: 0.7243 0.2757 0.2757  1 Os 2.37
Cl: 0.7243 0.2757 0.7243  1 Os 2.37
Cl: 0.7243 0.7243 0.2757  1 Os 2.37

The space group is Fm-3m, No. 225. The calculation puts the total energy at -3.807 eV per atom.

***

Entry 6:
Material: K2PdCl4
Method: DFT, GGA-PBE
State: optimized geometry

a = 4.1180 Å, b = 7.1026 Å, c = 7.0960 Å
α = 90.00°, β = 90.00°, γ = 90.00°
With the nearest neighbours (Å) after each atom.
Fractional positions:
K: 0.0000 0.0000 0.0000  8 Cl 3.24-3.26
K: 0.0000 0.5000 0.4973  8 Cl 3.25
Pd: 0.5000 0.5000 0.9966  4 Cl 2.33
Cl: 0.5000 0.2675 0.7644  1 Pd 2.33
Cl: 0.5000 0.2679 0.2293  1 Pd 2.33
Cl: 0.5000 0.7321 0.2293  1 Pd 2.33
Cl: 0.5000 0.7325 0.7644  1 Pd 2.33

The space group is Pmm2, No. 25. The calculation puts the total energy at -3.484 eV per atom. For the energy above the most stable polymorph in this dataset, the calculation gives 0.000 eV per atom.

***

Entry 7:
Material: KPdCl6
Method: DFT, GGA-PBE
State: optimized geometry

a = 5.2937 Å, b = 6.9511 Å, c = 7.4266 Å
α = 65.03°, β = 71.56°, γ = 79.79°
With the nearest neighbours (Å) after each atom.
Fractional positions:
K: 0.0000 0.0000 0.0000  8 Cl 3.16-3.48
Pd: 0.4991 0.5012 0.5005  4 Cl 2.29-2.32
Cl: 0.2055 0.2886 0.5035  1 Cl 2.31, 1 Pd 2.32
Cl: 0.4856 0.2930 0.8389  1 Pd 2.29
Cl: 0.4990 0.0012 0.5004  2 Cl 2.31
Cl: 0.5128 0.7092 0.1621  1 Pd 2.30
Cl: 0.7926 0.7139 0.4974  1 Cl 2.31, 1 Pd 2.32
Cl: 0.9994 0.5009 0.0004  2 Cl 2.89

The space group is P1, No. 1. The calculation puts the total energy at -2.712 eV per atom.

***

Entry 8:
Material: K2PdCl4
Method: DFT, GGA-PBE
State: optimized geometry

a = 11.0632 Å, b = 6.9894 Å, c = 5.2369 Å
α = 90.00°, β = 94.17°, γ = 90.00°
With the nearest neighbours (Å) after each atom.
Fractional positions:
K: 0.1436 0.0000 0.2453  8 Cl 3.18-3.37
K: 0.3564 0.5000 0.7547  8 Cl 3.18-3.37
K: 0.6436 0.5000 0.2453  8 Cl 3.18-3.37
K: 0.8564 0.0000 0.7547  8 Cl 3.18-3.37
Pd: 0.0000 0.5000 0.5000  4 Cl 2.33
Pd: 0.5000 0.0000 0.5000  4 Cl 2.33
Cl: 0.1104 0.2645 0.7283  1 Pd 2.33
Cl: 0.1104 0.7355 0.7283  1 Pd 2.33
Cl: 0.3896 0.2355 0.2717  1 Pd 2.33
Cl: 0.3896 0.7645 0.2717  1 Pd 2.33
Cl: 0.6104 0.2355 0.7283  1 Pd 2.33
Cl: 0.6104 0.7645 0.7283  1 Pd 2.33
Cl: 0.8896 0.2645 0.2717  1 Pd 2.33
Cl: 0.8896 0.7355 0.2717  1 Pd 2.33

The space group is C2/m, No. 12. The calculation puts the total energy at -3.453 eV per atom. For the energy above the most stable polymorph in this dataset, the calculation gives 0.031 eV per atom.